--- 1 ---
Density functional theory data (PBE-GGA) for Ho2AlAg3 after structural relaxation.

a b c (Å): 3.7121 4.2738 9.1456
angles (deg): 103.51 101.71 90.00
With the nearest neighbours (Å) after each atom.
Positions (direct):
Ag 0.5379 0.5379 0.0758  2 Al 2.53, 1 Ag 2.75
Ag 0.6958 0.6958 0.3916  3 Ag 2.71-2.75
Ho 0.1201 0.1201 0.2401  8 Ag 3.12-3.17, 2 Al 3.34
Ag 0.3093 0.8093 0.6186  1 Al 2.63, 2 Ag 2.71
Ho 0.8766 0.3766 0.7532  6 Ag 3.06-3.36, 4 Al 3.18
Al 0.4603 0.9603 0.9207  3 Ag 2.53-2.63

---

--- 2 ---
Density functional theory data (PBE-GGA) for Ho2AlAg3 after structural relaxation.

a b c (Å): 5.7851 5.7851 8.8646
angles (deg): 102.94 102.94 108.30
With the nearest neighbours (Å) after each atom.
Positions (direct):
Ag 0.3432 0.8271 0.1703  1 Al 2.64, 2 Ag 2.79-2.80
Ho 0.2500 0.7500 0.5000  8 Ag 3.17-3.19, 4 Al 3.20, 2 Ho 3.39
Ho 0.2461 0.2461 0.0000  10 Ag 3.17-3.26, 2 Al 3.23, 2 Ho 3.34-3.44
Ag 0.1711 0.1711 0.3423  1 Al 2.65, 2 Ag 2.80
Al 0.3330 0.3330 0.6659  3 Ag 2.64-2.65
Ag 0.8289 0.8289 0.6577  1 Al 2.65, 2 Ag 2.80
Ag 0.6568 0.1729 0.8297  1 Al 2.64, 2 Ag 2.79-2.80
Ag 0.8271 0.3432 0.1703  1 Al 2.64, 2 Ag 2.79-2.80
Ho 0.7539 0.7539 0.0000  10 Ag 3.17-3.26, 2 Al 3.23, 2 Ho 3.34-3.44
Al 0.6670 0.6670 0.3341  3 Ag 2.64-2.65
Ag 0.1729 0.6568 0.8297  1 Al 2.64, 2 Ag 2.79-2.80
Ho 0.7500 0.2500 0.5000  8 Ag 3.17-3.19, 4 Al 3.20, 2 Ho 3.39

---

Most stable to least stable: 2, 1

---

--- 1 ---
Density functional theory data (PBE-GGA) for PrHoAlAg after structural relaxation.

a b c (Å): 5.2526 5.2526 5.2526
angles (deg): 60.00 60.00 60.00
With the nearest neighbours (Å) after each atom.
Positions (direct):
Ag 0.2500 0.2500 0.2500  4 Ho 3.22, 4 Pr 3.22
Ho 0.0000 0.0000 0.0000  4 Al 3.22, 4 Ag 3.22
Al 0.7500 0.7500 0.7500  4 Pr 3.22, 4 Ho 3.22
Pr 0.5000 0.5000 0.5000  4 Al 3.22, 4 Ag 3.22

---

--- 2 ---
Density functional theory data (PBE-GGA) for PrHoAlAg after structural relaxation.

a b c (Å): 3.6111 3.6111 7.6984
angles (deg): 90.00 90.00 90.00
With the nearest neighbours (Å) after each atom.
Positions (direct):
Ho 0.0000 0.0000 0.3536  4 Ag 3.05, 4 Al 3.13
Ag 0.5000 0.5000 0.1371  4 Ho 3.05, 4 Pr 3.38
Al 0.5000 0.5000 0.5885  4 Ho 3.13, 4 Pr 3.25, 1 Ag 3.48
Pr 0.0000 0.0000 0.8488  4 Al 3.25, 4 Ag 3.38, 4 Pr 3.61

---

Most stable to least stable: 2, 1